Below is a geometry-optimized RbMo2AsS structure, with properties calculated at the GGA-PBE level.

abc: 4.892 4.892 6.275
angles: 90.00 90.00 90.00
Element x y z (fractional)
Rb 0.000 0.000 0.000
Mo 0.000 0.500 0.500
Mo 0.500 0.000 0.500
As 0.000 0.000 0.500
S 0.500 0.500 0.000

## Properties
N(E_F): 0.6508 states/eV per atom
formation energy without anion corrections: 1.1476 eV/atom
ρ: 4.2 g/cm³